This record from the Alexandria database describes RbCd2I2 after structural relaxation. The functional is PBE.

Output
Space-group type: I4/mmm, No. 139
DOS(E_F): 0.410 states/eV/atom
Formation energy (no corrections): -55.0 kJ per mole of atoms
Energy relative to the lowest polymorph listed for this composition: 0 meV per atom
Magnetic moment: 0.0 μB/cell

a b c (Å): 4.320 4.320 10.589
angles (deg): 78.23 78.23 90.00
Fractional coordinates of all 5 atoms:
I  0.392  0.392  0.216
I  0.608  0.608  0.784
Rb  0.000  0.000  0.000
Cd  0.750  0.250  0.500
Cd  0.250  0.750  0.500